## MnTcRu (GGA-PBE)

Data for crystalline MnTcRu at its relaxed geometry.

Values from the calculation:
ΔE_f	0.083	eV/atom
E	-28.6	eV per formula unit
calculated volume	39.8	Å³/cell

```
data_MnTcRu
_chemical_formula_sum 'Mn1 Tc1 Ru1'
_cell_length_a 4.1477
_cell_length_b 4.1477
_cell_length_c 2.6733
_cell_angle_alpha 90.00
_cell_angle_beta 90.00
_cell_angle_gamma 120.00
_symmetry_space_group_name_H-M 'P -6 m 2'
_symmetry_Int_Tables_number 187
_symmetry_space_group_name_Hall 'P -6 2'
loop_
_atom_site_label
_atom_site_fract_x
_atom_site_fract_y
_atom_site_fract_z
Mn1 0.0000 0.0000 0.0000
Tc1 0.6667 0.3333 0.0000
Ru1 0.3333 0.6667 0.5000
```

## LaSbPb2O6 (GGA-PBE)

Data for crystalline LaSbPb2O6 at its relaxed geometry.

Values from the calculation:
energy relative to the elements, uncorrected	-1837	meV per atom
E	-64.6	eV per formula unit
calculated volume	314.5	Å³/cell

```
data_LaSbPb2O6
_chemical_formula_sum 'La2 Sb2 Pb4 O12'
_cell_length_a 5.983
_cell_length_b 6.122
_cell_length_c 10.429
_cell_angle_alpha 90.00
_cell_angle_beta 124.60
_cell_angle_gamma 90.00
_symmetry_space_group_name_H-M 'P 1 21/c 1'
_symmetry_Int_Tables_number 14
_symmetry_space_group_name_Hall '-P 2ybc'
loop_
_atom_site_label
_atom_site_fract_x
_atom_site_fract_y
_atom_site_fract_z
La1 0.000 0.000 0.000
Sb1 0.500 0.000 0.500
Pb1 0.246 0.034 0.751
O1 0.180 0.182 0.456
O2 0.281 0.723 0.456
O3 0.363 0.025 0.272
```

## MgSc3Tl4Te8 (GGA-PBE)

Data for crystalline MgSc3Tl4Te8 at its relaxed geometry.

Values from the calculation:
energy relative to the elements, uncorrected	-817	meV per atom
E	-68.3	eV per formula unit
calculated volume	1520.3	Å³/cell

```
data_MgSc3Tl4Te8
_chemical_formula_sum 'Mg3 Sc9 Tl12 Te24'
_cell_length_a 8.5743
_cell_length_b 8.5743
_cell_length_c 23.8773
_cell_angle_alpha 90.00
_cell_angle_beta 90.00
_cell_angle_gamma 120.00
_symmetry_space_group_name_H-M 'R -3 m'
_symmetry_Int_Tables_number 166
_symmetry_space_group_name_Hall '-R 3 2"'
loop_
_atom_site_label
_atom_site_fract_x
_atom_site_fract_y
_atom_site_fract_z
Mg1 0.0000 0.0000 0.0000
Sc1 0.0000 0.5000 0.0000
Tl1 0.0000 0.0000 0.5000
Tl2 0.0000 0.5000 0.5000
Te1 0.0000 0.0000 0.2650
Te2 0.0027 0.5014 0.2656
```

## Ba5PbAu4 (GGA-PBE)

Data for crystalline Ba5PbAu4 at its relaxed geometry.

Values from the calculation:
ΔE_f	-0.663	eV/atom
E	-33.1	eV per formula unit
calculated volume	342.8	Å³/cell

```
data_Ba5PbAu4
_chemical_formula_sum 'Ba5 Pb1 Au4'
_cell_length_a 4.045
_cell_length_b 4.045
_cell_length_c 20.952
_cell_angle_alpha 90.00
_cell_angle_beta 90.00
_cell_angle_gamma 90.00
_symmetry_space_group_name_H-M 'P 4/m m m'
_symmetry_Int_Tables_number 123
_symmetry_space_group_name_Hall '-P 4 2'
loop_
_atom_site_label
_atom_site_fract_x
_atom_site_fract_y
_atom_site_fract_z
Ba1 0.000 0.000 0.000
Ba2 0.000 0.000 0.193
Ba3 0.000 0.000 0.386
Pb1 0.500 0.500 0.500
Au1 0.500 0.500 0.097
Au2 0.500 0.500 0.288
```

## MgVAs2 (GGA-PBE)

Data for crystalline MgVAs2 at its relaxed geometry.

Values from the calculation:
ΔE_f	-0.131	eV/atom
E	-20.5	eV per formula unit
calculated volume	399.7	Å³/cell

```
data_MgVAs2
_chemical_formula_sum 'Mg4 V4 As8'
_cell_length_a 5.936
_cell_length_b 5.936
_cell_length_c 11.346
_cell_angle_alpha 90.00
_cell_angle_beta 90.00
_cell_angle_gamma 90.00
_symmetry_space_group_name_H-M 'I -4 2 d'
_symmetry_Int_Tables_number 122
_symmetry_space_group_name_Hall 'I -4 2bw'
loop_
_atom_site_label
_atom_site_fract_x
_atom_site_fract_y
_atom_site_fract_z
Mg1 0.000 0.000 0.000
V1 0.000 0.000 0.500
As1 0.211 0.250 0.625
```